A relaxed structure of CsTlZn2S, computed with PBE.

Unit cell a=5.4896 b=5.4896 c=5.6797 alpha=90.00 beta=90.00 gamma=90.00
Last column: nearest neighbours and their distance in Å.
Space group P4/mmm (No. 123)
Symmetry-distinct sites (fractional):
Cs 0.0000 0.0000 0.0000 (multiplicity 1)  4 S 3.88, 8 Zn 3.95
Tl 0.5000 0.5000 0.5000 (multiplicity 1)  4 Zn 2.74, 2 S 2.84
Zn 0.0000 0.5000 0.5000 (multiplicity 2)  2 Tl 2.74
S 0.5000 0.5000 0.0000 (multiplicity 1)  2 Tl 2.84

Values from the calculation:
The total moment is 0.00 Bohr magnetons per cell. The calculation puts the energy at -1.965 eV/atom. As for the formation energy (no corrections): 0.01 eV per atom.

A relaxed structure of Er2AlGa3, computed with PBE.

Unit cell a=7.1027 b=8.8107 c=15.3289 alpha=90.00 beta=90.00 gamma=90.00
Last column: nearest neighbours and their distance in Å.
Space group Fmmm (No. 69)
Symmetry-distinct sites (fractional):
Er 0.2470 0.0000 0.0000 (multiplicity 8)  10 Ga 3.10-3.11, 2 Al 3.12
Er 0.2500 0.2500 0.2500 (multiplicity 8)  8 Ga 3.10-3.11, 4 Al 3.11
Al 0.0000 0.0000 0.3337 (multiplicity 8)  3 Ga 2.54-2.56
Ga 0.0000 0.0000 0.1669 (multiplicity 8)  2 Ga 2.56, 1 Al 2.56
Ga 0.0000 0.2492 0.4168 (multiplicity 16)  1 Al 2.54, 2 Ga 2.55-2.56

Values from the calculation:
For the calculated formation energy, the calculation gives -55.9 kJ per mole of atoms. The calculation puts the energy relative to the lowest polymorph listed for this composition at 0.0086 eV/atom. The total moment is 0.00 Bohr magnetons per cell. The calculation puts the energy at -4.238 eV/atom.

A relaxed structure of CrAu, computed with PBE.

Unit cell a=3.0173 b=3.0173 c=4.4193 alpha=90.00 beta=90.00 gamma=120.00
Last column: nearest neighbours and their distance in Å.
Space group P-6m2 (No. 187)
Symmetry-distinct sites (fractional):
Cr 0.0000 0.0000 0.0000 (multiplicity 1)  6 Au 2.81, 6 Cr 3.02
Au 0.6667 0.3333 0.5000 (multiplicity 1)  6 Cr 2.81, 6 Au 3.02

Values from the calculation:
For the calculated formation energy, the calculation gives 46.4 kJ per mole of atoms. The total moment is 3.99 Bohr magnetons per cell. The calculation puts the energy at -5.969 eV/atom.

A relaxed structure of Ce2Ru3, computed with PBE.

Unit cell a=4.7886 b=4.7886 c=13.7453 alpha=90.00 beta=90.00 gamma=120.00
Last column: nearest neighbours and their distance in Å.
Space group R-3m (No. 166, hexagonal axes)
Symmetry-distinct sites (fractional):
Ce 0.0000 0.0000 0.1998 (multiplicity 6)  1 Ru 2.41
Ru 0.0000 0.0000 0.0000 (multiplicity 3)  2 Ce 2.75, 6 Ru 2.82
Ru 0.0000 0.0000 0.3751 (multiplicity 6)  1 Ce 2.41

Values from the calculation:
For the calculated formation energy, the calculation gives -15.4 kJ per mole of atoms. The total moment is 0.00 Bohr magnetons per cell. The calculation puts the energy at -8.099 eV/atom.

A relaxed structure of TlGaCuF6, computed with PBE.

Unit cell a=5.5502 b=9.0289 c=6.0372 alpha=90.00 beta=91.74 gamma=90.00
Last column: nearest neighbours and their distance in Å.
Space group C2 (No. 5)
Symmetry-distinct sites (fractional):
Tl 0.0000 0.0000 0.0000 (multiplicity 2)  6 F 2.73-2.85
Ga 0.0000 0.3349 0.5000 (multiplicity 2)  6 F 1.88-1.97
Cu 0.0000 0.6725 0.5000 (multiplicity 2)  4 F 1.95-1.96
F 0.1141 0.5051 0.6792 (multiplicity 4)  1 Cu 1.95, 1 Ga 1.97
F 0.1515 0.2050 0.7027 (multiplicity 4)  1 Ga 1.88
F 0.1956 0.8220 0.6586 (multiplicity 4)  1 Cu 1.96, 1 Ga 1.97

Values from the calculation:
The total moment is 2.00 Bohr magnetons per cell. The calculation puts the energy at -4.408 eV/atom. As for the formation energy (no corrections): -2.11 eV per atom.

A relaxed structure of AcNd2YTm5, computed with PBE.

Unit cell a=8.8247 b=8.8247 c=15.4408 alpha=90.00 beta=90.00 gamma=90.00
Last column: nearest neighbours and their distance in Å.
Space group I4/mcm (No. 140)
Symmetry-distinct sites (fractional):
Ac 0.0000 0.0000 0.2500 (multiplicity 4)  10 Tm 3.65-3.86
Nd 0.1164 0.3836 0.0000 (multiplicity 8)  1 Nd 2.90, 2 Tm 3.00
Y 0.0000 0.5000 0.2500 (multiplicity 4)  4 Tm 3.16
Tm 0.0000 0.0000 0.0000 (multiplicity 4)  4 Nd 3.54, 8 Tm 3.77, 2 Ac 3.86
Tm 0.2077 0.2923 0.3672 (multiplicity 16)  1 Nd 3.00, 1 Y 3.16

Values from the calculation:
For the calculated formation energy, the calculation gives 24.9 kJ per mole of atoms. The total moment is 0.00 Bohr magnetons per cell. The calculation puts the energy at -4.460 eV/atom.

A relaxed structure of CrRu2I, computed with PBE.

Unit cell a=6.3570 b=6.3570 c=6.3570 alpha=90.00 beta=90.00 gamma=90.00
Last column: nearest neighbours and their distance in Å.
Space group Fm-3m (No. 225)
Symmetry-distinct sites (fractional):
Cr 0.0000 0.0000 0.0000 (multiplicity 4)  8 Ru 2.75
Ru 0.2500 0.2500 0.2500 (multiplicity 8)  4 Cr 2.75, 4 I 2.75
I 0.0000 0.0000 0.5000 (multiplicity 4)  8 Ru 2.75

Values from the calculation:
The calculation puts the energy relative to the lowest polymorph listed for this composition at 0.0000 eV/atom. The total moment is 17.91 Bohr magnetons per cell. The calculation puts the energy at -6.612 eV/atom. As for the formation energy (no corrections): 0.82 eV per atom.

A relaxed structure of SrRe2As2, computed with PBE.

Unit cell a=4.6819 b=4.6819 c=9.2344 alpha=90.00 beta=90.00 gamma=90.00
Last column: nearest neighbours and their distance in Å.
Space group I4/mmm (No. 139)
Symmetry-distinct sites (fractional):
Sr 0.0000 0.0000 0.0000 (multiplicity 2)  8 As 3.29, 10 Re 3.46-3.51
Re 0.0000 0.0000 0.3742 (multiplicity 4)  1 Re 2.32
As 0.0000 0.5000 0.2500 (multiplicity 4)  4 Re 2.61

Values from the calculation:
For the calculated formation energy, the calculation gives -8.4 kJ per mole of atoms. The calculation puts the energy relative to the lowest polymorph listed for this composition at 0.0000 eV/atom. The total moment is 0.00 Bohr magnetons per cell. The calculation puts the energy at -7.262 eV/atom.

What did the first record say?
A relaxed structure of CsTlZn2S, computed with PBE.

Unit cell a=5.4896 b=5.4896 c=5.6797 alpha=90.00 beta=90.00 gamma=90.00
Last column: nearest neighbours and their distance in Å.
Space group P4/mmm (No. 123)
Symmetry-distinct sites (fractional):
Cs 0.0000 0.0000 0.0000 (multiplicity 1)  4 S 3.88, 8 Zn 3.95
Tl 0.5000 0.5000 0.5000 (multiplicity 1)  4 Zn 2.74, 2 S 2.84
Zn 0.0000 0.5000 0.5000 (multiplicity 2)  2 Tl 2.74
S 0.5000 0.5000 0.0000 (multiplicity 1)  2 Tl 2.84

Values from the calculation:
The total moment is 0.00 Bohr magnetons per cell. The calculation puts the energy at -1.965 eV/atom. As for the formation energy (no corrections): 0.01 eV per atom.

Repeat the fourth record exactly.
A relaxed structure of Ce2Ru3, computed with PBE.

Unit cell a=4.7886 b=4.7886 c=13.7453 alpha=90.00 beta=90.00 gamma=120.00
Last column: nearest neighbours and their distance in Å.
Space group R-3m (No. 166, hexagonal axes)
Symmetry-distinct sites (fractional):
Ce 0.0000 0.0000 0.1998 (multiplicity 6)  1 Ru 2.41
Ru 0.0000 0.0000 0.0000 (multiplicity 3)  2 Ce 2.75, 6 Ru 2.82
Ru 0.0000 0.0000 0.3751 (multiplicity 6)  1 Ce 2.41

Values from the calculation:
For the calculated formation energy, the calculation gives -15.4 kJ per mole of atoms. The total moment is 0.00 Bohr magnetons per cell. The calculation puts the energy at -8.099 eV/atom.